A plane-wave DFT calculation with GGA-PBE was carried out for a relaxed Cs2BNCl6 crystal.

a b c (Å): 7.470 7.470 7.470
angles (deg): 120.36 120.36 89.38
Atoms (fractional coordinates):
Cs1 0.250 0.750 0.500
Cs2 0.750 0.250 0.500
B1 0.000 0.000 0.000
N1 0.500 0.500 0.000
Cl1 0.189 0.189 0.378
Cl2 0.189 0.811 0.000
Cl3 0.302 0.302 0.000
Cl4 0.698 0.698 0.000
Cl5 0.811 0.189 0.000
Cl6 0.811 0.811 0.622

Values from the calculation:
- V: 293.12 Å³/cell
- Total DFT energy (no corrections): -32.73 eV per cell
- Fermi-level density of states: 0.00 states/eV per atom
- Energy relative to the elements, uncorrected: -0.4941 eV per atom